1.
PmSm2Tl2Cd2: optimized geometry, GGA-PBE.

Summary:
Theoretical density ... 9.10 Mg/m³
DFT formation energy ... -0.175 eV per atom
SG ... R-3m, No. 166

Cell lengths 9.4359, 9.4359, 9.4359 Å; angles 30.94, 30.94, 30.94 degrees
With the nearest neighbours (Å) after each atom.
Atoms (fractional coordinates):
Pm1 0.0000 0.0000 0.0000  6 Tl 3.38, 2 Sm 3.55, 6 Cd 3.75
Sm1 0.1320 0.1320 0.1320  3 Cd 3.14, 3 Tl 3.44, 3 Sm 3.45
Sm2 0.8680 0.8680 0.8680  3 Cd 3.14, 3 Tl 3.44, 3 Sm 3.45
Tl1 0.2696 0.2696 0.2696  3 Cd 2.98
Tl2 0.7304 0.7304 0.7304  3 Cd 2.98
Cd1 0.4211 0.4211 0.4211  3 Tl 2.98, 3 Sm 3.14
Cd2 0.5789 0.5789 0.5789  3 Tl 2.98, 3 Sm 3.14

=====

2.
Al2TlRh2: optimized geometry, GGA-PBE.

Summary:
Theoretical density ... 8.91 Mg/m³
Excess energy over the best structure of this formula in the dataset ... 95 meV per atom
DFT formation energy ... -0.466 eV per atom
SG ... I4/mmm, No. 139

Cell lengths 6.6016, 6.6016, 6.6016 Å; angles 146.67, 146.67, 47.85 degrees
With the nearest neighbours (Å) after each atom.
Atoms (fractional coordinates):
Al1 0.2500 0.7500 0.5000  4 Rh 2.51, 4 Al 2.68
Al2 0.7500 0.2500 0.5000  4 Rh 2.51, 4 Al 2.68
Tl1 0.0000 0.0000 0.0000  8 Rh 3.01
Rh1 0.3866 0.3866 0.0000  4 Al 2.51, 1 Rh 2.74
Rh2 0.6134 0.6134 0.0000  4 Al 2.51, 1 Rh 2.74

=====

3.
KZr2NbCo: optimized geometry, GGA-PBE.

Summary:
Theoretical density ... 4.80 Mg/m³
DFT formation energy ... 1.064 eV per atom
SG ... P4/mmm, No. 123

Cell lengths 5.2741, 5.2741, 4.6453 Å; angles 90.00, 90.00, 90.00 degrees
With the nearest neighbours (Å) after each atom.
Atoms (fractional coordinates):
K1 0.0000 0.0000 0.0000  8 Zr 3.51, 4 Co 3.73
Zr1 0.0000 0.5000 0.5000  2 Nb 2.64
Zr2 0.5000 0.0000 0.5000  2 Nb 2.64
Nb1 0.5000 0.5000 0.5000  2 Co 2.32
Co1 0.5000 0.5000 0.0000  2 Nb 2.32

=====

4.
Rb2Na5Cd: optimized geometry, GGA-PBE.

Summary:
Theoretical density ... 1.74 Mg/m³
DFT formation energy ... 0.048 eV per atom
SG ... Fmm2, No. 42

Cell lengths 8.8113, 8.1280, 7.7190 Å; angles 67.50, 58.46, 54.04 degrees
With the nearest neighbours (Å) after each atom.
Atoms (fractional coordinates):
Rb1 0.0000 0.0000 0.5000  8 Na 4.00-4.28, 2 Cd 4.17
Rb2 0.5000 0.5000 0.0000  8 Na 4.00-4.28, 2 Cd 4.17
Na1 0.0068 0.4794 0.5206  1 Cd 3.22, 1 Na 3.48
Na2 0.4007 0.4007 0.5993  4 Na 3.48-3.69, 1 Cd 3.61
Na3 0.4794 0.0068 0.9932  1 Cd 3.22, 1 Na 3.48
Na4 0.5368 0.9283 0.4632  1 Cd 3.30, 3 Na 3.69
Na5 0.9283 0.5368 0.0717  1 Cd 3.30, 3 Na 3.69
Cd1 0.1227 0.1227 0.8773  5 Na 3.22-3.61

=====

5.
Sr2CdFeCo: optimized geometry, GGA-PBE.

Summary:
Theoretical density ... 4.48 Mg/m³
DFT formation energy ... 0.925 eV per atom
SG ... P4/mmm, No. 123

Cell lengths 5.4862, 5.4862, 4.9510 Å; angles 90.00, 90.00, 90.00 degrees
With the nearest neighbours (Å) after each atom.
Atoms (fractional coordinates):
Sr1 0.0000 0.5000 0.0000  2 Fe 2.74
Sr2 0.5000 0.0000 0.0000  2 Fe 2.74
Cd1 0.0000 0.0000 0.5000  2 Fe 2.48
Fe1 0.0000 0.0000 0.0000  2 Cd 2.48, 4 Sr 2.74
Co1 0.5000 0.5000 0.5000  8 Sr 3.69, 4 Cd 3.88

=====

6.
TaTiNiSe2: optimized geometry, GGA-PBE.

Summary:
Theoretical density ... 6.72 Mg/m³
SG ... P4/mmm, No. 123
Raw formation energy ... 922 meV per atom

Cell lengths 4.7549, 4.7549, 4.8682 Å; angles 90.00, 90.00, 90.00 degrees
With the nearest neighbours (Å) after each atom.
Atoms (fractional coordinates):
Ta1 0.0000 0.0000 0.0000  2 Ti 2.43
Ti1 0.0000 0.0000 0.5000  4 Se 2.38, 2 Ta 2.43
Ni1 0.5000 0.5000 0.0000  4 Ta 3.36, 8 Se 3.40
Se1 0.0000 0.5000 0.5000  2 Ti 2.38
Se2 0.5000 0.0000 0.5000  2 Ti 2.38

=====

7.
CaAg2P: optimized geometry, GGA-PBE.

Summary:
Theoretical density ... 5.88 Mg/m³
DFT formation energy ... -0.201 eV per atom
SG ... P2/m, No. 10

Cell lengths 3.1960, 5.1877, 4.8834 Å; angles 90.00, 90.99, 90.00 degrees
With the nearest neighbours (Å) after each atom.
Atoms (fractional coordinates):
Ca1 0.0000 0.0000 0.0000  4 P 2.89-2.94, 4 Ag 3.04, 2 Ca 3.20
Ag1 0.2997 0.5000 0.7464  3 Ag 2.74-3.05, 2 P 2.93, 2 Ca 3.04
Ag2 0.7003 0.5000 0.2536  3 Ag 2.74-3.05, 2 P 2.93, 2 Ca 3.04
P1 0.5000 0.0000 0.5000  4 Ca 2.89-2.94, 4 Ag 2.93, 2 P 3.20

=====

8.
NaTmScIn: optimized geometry, GGA-PBE.

Summary:
Theoretical density ... 5.80 Mg/m³
DFT formation energy ... -0.067 eV per atom
SG ... F-43m, No. 216

Cell lengths 5.2206, 5.2206, 5.2206 Å; angles 60.00, 60.00, 60.00 degrees
With the nearest neighbours (Å) after each atom.
Atoms (fractional coordinates):
Na1 0.0000 0.0000 0.0000  4 Sc 3.20, 4 Tm 3.20
Tm1 0.7500 0.7500 0.7500  4 In 3.20, 4 Na 3.20
Sc1 0.2500 0.2500 0.2500  4 In 3.20, 4 Na 3.20
In1 0.5000 0.5000 0.5000  4 Tm 3.20, 4 Sc 3.20

=====

9.
SrCoOs2: optimized geometry, GGA-PBE.

Summary:
Theoretical density ... 13.29 Mg/m³
Excess energy over the best structure of this formula in the dataset ... 393 meV per atom
DFT formation energy ... 0.660 eV per atom
SG ... C2/m, No. 12

Cell lengths 5.8077, 5.8077, 4.6247 Å; angles 112.52, 112.52, 27.34 degrees
With the nearest neighbours (Å) after each atom.
Atoms (fractional coordinates):
Sr1 0.0000 0.0000 0.0000  4 Co 2.69, 2 Sr 2.74
Co1 0.5000 0.5000 0.5000  4 Os 2.61, 4 Sr 2.69, 2 Co 2.74
Os1 0.2136 0.2136 0.7063  2 Co 2.61, 6 Os 2.73-2.86
Os2 0.7864 0.7864 0.2937  2 Co 2.61, 6 Os 2.73-2.86

=====

One value per record, in order, for DFT total energy: -22.0 -26.9 -30.1 -9.1 -15.2 -27.9 -13.9 -15.1 -28.6 eV per cell.